DFT (PBE-GGA) results for a relaxed structure of FeCu2Pt2.

Results
formation enthalpy at 0 K: 0.41 eV per formula unit

Cell lengths 7.117, 7.117, 2.836 Å; angles 90.00, 90.00, 90.00 degrees
Space group P4/mbm (No. 127)
One atom of each set of equivalent atoms:
Fe 0.000 0.000 0.000 x2
Cu 0.122 0.378 0.000 x4
Pt 0.175 0.675 0.500 x4



DFT (PBE-GGA) results for a relaxed structure of Fe3CuPt12.

Results
formation enthalpy at 0 K: -3.16 eV per formula unit

Cell lengths 3.918, 3.918, 15.612 Å; angles 90.00, 90.00, 90.00 degrees
Space group P4/mmm (No. 123)
One atom of each set of equivalent atoms:
Fe 0.000 0.000 0.000 x1
Fe 0.000 0.000 0.254 x2
Cu 0.000 0.000 0.500 x1
Pt 0.000 0.500 0.125 x4
Pt 0.000 0.500 0.374 x4
Pt 0.500 0.500 0.000 x1
Pt 0.500 0.500 0.250 x2
Pt 0.500 0.500 0.500 x1



DFT (PBE-GGA) results for a relaxed structure of FeCuPt.

Results
formation enthalpy at 0 K: -0.19 eV per formula unit

Cell lengths 4.2008, 4.2008, 2.6485 Å; angles 90.00, 90.00, 120.00 degrees
Space group P3m1 (No. 156)
One atom of each set of equivalent atoms:
Fe 0.0000 0.0000 0.0000 x1
Cu 0.6667 0.3333 0.7742 x1
Pt 0.3333 0.6667 0.3829 x1



DFT (PBE-GGA) results for a relaxed structure of FeCu3Pt6.

Results
formation enthalpy at 0 K: -1.19 eV per formula unit

Cell lengths 7.201, 4.495, 9.501 Å; angles 90.00, 110.42, 90.00 degrees
Space group P2_1/m (No. 11)
One atom of each set of equivalent atoms:
Fe 0.111 0.250 0.072 x2
Cu 0.099 0.750 0.727 x2
Cu 0.296 0.750 0.531 x2
Cu 0.310 0.250 0.868 x2
Pt 0.079 0.750 0.221 x2
Pt 0.105 0.250 0.570 x2
Pt 0.278 0.750 0.018 x2
Pt 0.297 0.250 0.366 x2
Pt 0.493 0.750 0.329 x2
Pt 0.499 0.750 0.834 x2



DFT (PBE-GGA) results for a relaxed structure of Fe2CuPt.

Results
formation enthalpy at 0 K: -0.15 eV per formula unit

Cell lengths 2.928, 2.928, 6.063 Å; angles 90.00, 90.00, 90.00 degrees
Space group P4mm (No. 99)
One atom of each set of equivalent atoms:
Fe 0.000 0.000 0.000 x1
Fe 0.500 0.500 0.226 x1
Cu 0.500 0.500 0.767 x1
Pt 0.000 0.000 0.494 x1



DFT (PBE-GGA) results for a relaxed structure of Fe3Cu3Pt5.

Results
formation enthalpy at 0 K: 2.19 eV per formula unit

Cell lengths 8.4065, 8.4065, 2.6934 Å; angles 90.00, 90.00, 120.00 degrees
Space group P-62m (No. 189)
One atom of each set of equivalent atoms:
Fe 0.0000 0.5926 0.0000 x3
Cu 0.0000 0.8341 0.5000 x3
Pt 0.0000 0.3385 0.5000 x3
Pt 0.3333 0.6667 0.5000 x2



DFT (PBE-GGA) results for a relaxed structure of Fe2CuPt.

Results
formation enthalpy at 0 K: -0.28 eV per formula unit

Cell lengths 5.185, 7.596, 2.655 Å; angles 90.00, 90.00, 90.00 degrees
Space group Cmmm (No. 65)
One atom of each set of equivalent atoms:
Fe 0.250 0.250 0.000 x4
Cu 0.000 0.000 0.500 x2
Pt 0.000 0.500 0.500 x2



DFT (PBE-GGA) results for a relaxed structure of FeCu23Pt6.

Results
formation enthalpy at 0 K: -0.36 eV per formula unit

Cell lengths 11.652, 11.652, 11.652 Å; angles 90.00, 90.00, 90.00 degrees
Space group Fm-3m (No. 225)
One atom of each set of equivalent atoms:
Fe 0.000 0.000 0.000 x4
Cu 0.000 0.000 0.500 x4
Cu 0.000 0.250 0.250 x24
Cu 0.131 0.131 0.369 x32
Cu 0.137 0.137 0.137 x32
Pt 0.000 0.000 0.245 x24



Computed values of total magnetic moment (unit: μB per formula unit) for the preceding records, in sequence: 3.7 13.7 3.3 4.0 6.0 10.4 5.8 3.3.
Computed values of VASP energy (unit: eV per cell) for the preceding records, in sequence: -56.65 -105.13 -18.79 -116.38 -27.21 -65.69 -54.68 -557.12.
Computed values of calculated volume (unit: Å³ per cell) for the preceding records, in sequence: 143.7 239.6 40.5 288.2 52.0 164.8 104.6 1582.0.